Here is a relaxed structure of NaNpAg2O8 from the Alexandria database. Energies are from PBE.

Calculated values
Electronic total energy, eV for the cell shown: -141.99
DOS(E_F), states/eV/cell: 19.56
Uncorrected formation energy, meV/atom: -947

Lattice parameters (Å, degrees): 6.4256 6.4256 8.9340 90.00 90.00 90.00
Closest atoms and distances in Å follow each position.
Space group I-4m2 (No. 119)
Symmetry-distinct sites (fractional):
Na: 0.0000 0.0000 0.0000 (multiplicity 2)  8 O 2.51-2.78
Np: 0.0000 0.5000 0.2500 (multiplicity 2)  4 O 1.91
Ag: 0.0000 0.0000 0.5000 (multiplicity 2)  4 O 2.41
Ag: 0.0000 0.5000 0.7500 (multiplicity 2)  4 O 2.27
O: 0.0000 0.2049 0.2738 (multiplicity 8)  1 Np 1.91
O: 0.0000 0.3901 0.9912 (multiplicity 8)  1 O 1.41